Here is La3ZnPt8 after structural relaxation from the Alexandria database. Energies are from GGA-PBE.

Unit cell a=5.5106 b=5.5106 c=9.5271 alpha=73.19 beta=73.19 gamma=60.00
With the nearest neighbours (Å) after each atom.
Fractional coordinates of all 12 atoms:
Pt 0.1899 0.1899 0.4302  6 Pt 2.73-2.76
Pt 0.4386 0.9396 0.6823  6 Pt 2.75-2.76, 1 Zn 2.82
Pt 0.6892 0.6892 0.9323  6 Pt 2.75-2.76
Pt 0.4379 0.4379 0.1821  6 Pt 2.73-2.78
Pt 0.9396 0.9396 0.6823  6 Pt 2.75-2.76, 1 Zn 2.82
Pt 0.9422 0.4379 0.1821  6 Pt 2.73-2.78
Pt 0.4379 0.9422 0.1821  6 Pt 2.73-2.78
Pt 0.9396 0.4386 0.6823  6 Pt 2.75-2.76, 1 Zn 2.82
La 0.9894 0.9894 0.0318  9 Pt 3.07-3.30
La 0.3784 0.3784 0.8648  12 Pt 3.21-3.26, 4 La 3.50-3.52
La 0.5083 0.5083 0.4750  12 Pt 3.08-3.33, 3 Zn 3.22
Zn 0.8591 0.8591 0.4228  3 Pt 2.82

Properties
The density of states at the Fermi level is 5.650 states/eV/f.u. As for the crystal system: trigonal. The total energy comes out at -76.07 eV per formula unit. Its magnetization is 0.00 μB/cell. The calculation puts the formation energy at -1128 kJ/mol of formula units.